Here is an optimized crystal structure of KRb2GaCl6 from Alexandria. Energies are from PBE.

CIF file:
```
data_KRb2GaCl6
_cell_length_a 7.2945
_cell_length_b 7.2945
_cell_length_c 7.6781
_cell_angle_alpha 90.00
_cell_angle_beta 90.00
_cell_angle_gamma 120.00
_symmetry_space_group_name_H-M 'P -3 m 1'
_symmetry_Int_Tables_number 164
_symmetry_space_group_name_Hall '-P 3 2"'
loop_
_atom_site_label
_atom_site_type_symbol
_atom_site_fract_x
_atom_site_fract_y
_atom_site_fract_z
K1 K 0.0000 0.0000 0.0000
Rb1 Rb 0.3333 0.6667 0.6370
Ga1 Ga 0.0000 0.0000 0.5000
Cl1 Cl 0.1554 0.3108 0.3167
```

Density of states at the Fermi level ... 0.000 states/eV/f.u.
E_form (uncorrected) ... -1.6211 eV per atom
Total DFT energy (no corrections) ... -33.4 eV per cell


Here is an optimized crystal structure of Ce12FeOs6 from Alexandria. Energies are from PBE.

CIF file:
```
data_Ce12FeOs6
_cell_length_a 12.2225
_cell_length_b 12.2225
_cell_length_c 11.6217
_cell_angle_alpha 90.00
_cell_angle_beta 90.00
_cell_angle_gamma 120.00
_symmetry_space_group_name_H-M 'R -3'
_symmetry_Int_Tables_number 148
_symmetry_space_group_name_Hall '-R 3'
loop_
_atom_site_label
_atom_site_type_symbol
_atom_site_fract_x
_atom_site_fract_y
_atom_site_fract_z
Ce1 Ce 0.0234 0.8135 0.3922
Ce2 Ce 0.0366 0.8377 0.8832
Fe1 Fe 0.0000 0.0000 0.0000
Os1 Os 0.0481 0.7813 0.6527
```

Density of states at the Fermi level ... 46.999 states/eV/f.u.
Total DFT energy (no corrections) ... -445.2 eV per cell


Here is an optimized crystal structure of CdTe2Se from Alexandria. Energies are from PBE.

CIF file:
```
data_CdTe2Se
_cell_length_a 4.076
_cell_length_b 4.076
_cell_length_c 6.335
_cell_angle_alpha 90.00
_cell_angle_beta 90.00
_cell_angle_gamma 90.00
_symmetry_space_group_name_H-M 'P 4/m m m'
_symmetry_Int_Tables_number 123
_symmetry_space_group_name_Hall '-P 4 2'
loop_
_atom_site_label
_atom_site_type_symbol
_atom_site_fract_x
_atom_site_fract_y
_atom_site_fract_z
Cd1 Cd 0.000 0.000 0.000
Te1 Te 0.500 0.500 0.241
Se1 Se 0.000 0.000 0.500
```

Density of states at the Fermi level ... 3.531 states/eV/f.u.
E_form (uncorrected) ... 0.2634 eV per atom
Total DFT energy (no corrections) ... -9.6 eV per cell